--- A ---
Material: PrY4Tm7
Method: DFT, PBE
State: relaxed

calculated volume = 31.60 Å³/atom
theoretical density = 7.35 g/cm3

```
data_PrY4Tm7
_chemical_formula_sum 'Pr1 Y4 Tm7'
_symmetry_space_group_name_H-M 'P -1'
_symmetry_Int_Tables_number 2
_cell_length_a 6.7061
_cell_length_b 6.9383
_cell_length_c 8.6854
_cell_angle_alpha 79.50
_cell_angle_beta 76.75
_cell_angle_gamma 76.69
loop_
_symmetry_equiv_pos_as_xyz
'x,y,z'
'-x,-y,-z'
loop_
_atom_site_label
_atom_site_type_symbol
_atom_site_fract_x
_atom_site_fract_y
_atom_site_fract_z
Pr1 Pr 0.0000 0.0000 0.0000
Y1 Y 0.1872 0.6052 0.3342
Y2 Y 0.3492 0.2305 0.6813
Tm1 Tm 0.0000 0.5000 0.0000
Tm2 Tm 0.1804 0.1065 0.3694
Tm3 Tm 0.3191 0.7355 0.6714
Tm4 Tm 0.4777 0.2522 0.0279
```

--- B ---
Material: PrY4Tm7
Method: DFT, PBE
State: relaxed

calculated volume = 32.51 Å³/atom
theoretical density = 7.15 g/cm3

```
data_PrY4Tm7
_chemical_formula_sum 'Pr2 Y8 Tm14'
_symmetry_space_group_name_H-M 'C 1 2/m 1'
_symmetry_Int_Tables_number 12
_cell_length_a 12.0404
_cell_length_b 5.8325
_cell_length_c 12.5922
_cell_angle_alpha 90.00
_cell_angle_beta 118.08
_cell_angle_gamma 90.00
loop_
_symmetry_equiv_pos_as_xyz
'x,y,z'
'-x,-y,-z'
'-x,y,-z'
'x,-y,z'
'x+1/2,y+1/2,z'
'-x+1/2,-y+1/2,-z'
'-x+1/2,y+1/2,-z'
'x+1/2,-y+1/2,z'
loop_
_atom_site_label
_atom_site_type_symbol
_atom_site_fract_x
_atom_site_fract_y
_atom_site_fract_z
Pr1 Pr 0.0000 0.0000 0.0000
Y1 Y 0.1303 0.5000 0.7750
Y2 Y 0.2492 0.0000 0.6828
Tm1 Tm 0.0000 0.5000 0.0000
Tm2 Tm 0.0598 0.0000 0.3307
Tm3 Tm 0.1349 0.5000 0.5035
Tm4 Tm 0.2108 0.0000 0.9229
```

Least stable structure: B

--- A ---
Material: Pr7YTm12
Method: DFT, PBE
State: relaxed

calculated volume = 35.53 Å³/atom
theoretical density = 7.25 g/cm3

```
data_Pr7YTm12
_chemical_formula_sum 'Pr14 Y2 Tm24'
_symmetry_space_group_name_H-M 'I m -3 m'
_symmetry_Int_Tables_number 229
_symmetry_space_group_name_Hall '-I 4 2 3'
_cell_length_a 11.2430
_cell_length_b 11.2430
_cell_length_c 11.2430
_cell_angle_alpha 90.00
_cell_angle_beta 90.00
_cell_angle_gamma 90.00
loop_
_atom_site_label
_atom_site_type_symbol
_atom_site_fract_x
_atom_site_fract_y
_atom_site_fract_z
Pr1 Pr 0.0000 0.0000 0.5000
Pr2 Pr 0.2500 0.2500 0.2500
Y1 Y 0.0000 0.0000 0.0000
Tm1 Tm 0.0000 0.2471 0.2471
```

--- B ---
Material: Pr7YTm12
Method: DFT, PBE
State: relaxed

calculated volume = 33.48 Å³/atom
theoretical density = 7.69 g/cm3

```
data_Pr7YTm12
_chemical_formula_sum 'Pr21 Y3 Tm36'
_symmetry_space_group_name_H-M 'R -3'
_symmetry_Int_Tables_number 148
_symmetry_space_group_name_Hall '-R 3'
_cell_length_a 11.9466
_cell_length_b 11.9466
_cell_length_c 16.2548
_cell_angle_alpha 90.00
_cell_angle_beta 90.00
_cell_angle_gamma 120.00
loop_
_atom_site_label
_atom_site_type_symbol
_atom_site_fract_x
_atom_site_fract_y
_atom_site_fract_z
Pr1 Pr 0.0000 0.0000 0.0000
Pr2 Pr 0.0536 0.8670 0.2885
Y1 Y 0.0000 0.0000 0.5000
Tm1 Tm 0.0241 0.5764 0.2210
Tm2 Tm 0.0518 0.4656 0.5833
```

Least stable structure: A

--- A ---
Material: Pr3Y8Tm3
Method: DFT, PBE
State: relaxed

calculated volume = 33.28 Å³/atom
theoretical density = 5.85 g/cm3

```
data_Pr3Y8Tm3
_chemical_formula_sum 'Pr6 Y16 Tm6'
_symmetry_space_group_name_H-M 'I m m m'
_symmetry_Int_Tables_number 71
_symmetry_space_group_name_Hall '-I 2 2'
_cell_length_a 5.6904
_cell_length_b 10.8394
_cell_length_c 15.1069
_cell_angle_alpha 90.00
_cell_angle_beta 90.00
_cell_angle_gamma 90.00
loop_
_atom_site_label
_atom_site_type_symbol
_atom_site_fract_x
_atom_site_fract_y
_atom_site_fract_z
Pr1 Pr 0.0000 0.0000 0.0000
Pr2 Pr 0.0000 0.5000 0.3184
Y1 Y 0.0000 0.1599 0.2799
Y2 Y 0.0000 0.3419 0.1019
Tm1 Tm 0.0000 0.0000 0.5000
Tm2 Tm 0.0000 0.2958 0.5000
```

--- B ---
Material: Pr3Y8Tm3
Method: DFT, PBE
State: relaxed

calculated volume = 33.16 Å³/atom
theoretical density = 5.87 g/cm3

```
data_Pr3Y8Tm3
_chemical_formula_sum 'Pr6 Y16 Tm6'
_symmetry_space_group_name_H-M 'I m m m'
_symmetry_Int_Tables_number 71
_symmetry_space_group_name_Hall '-I 2 2'
_cell_length_a 5.6769
_cell_length_b 10.7202
_cell_length_c 15.2564
_cell_angle_alpha 90.00
_cell_angle_beta 90.00
_cell_angle_gamma 90.00
loop_
_atom_site_label
_atom_site_type_symbol
_atom_site_fract_x
_atom_site_fract_y
_atom_site_fract_z
Pr1 Pr 0.0000 0.0000 0.0000
Pr2 Pr 0.0000 0.3111 0.0000
Y1 Y 0.0000 0.1590 0.2219
Y2 Y 0.0000 0.3388 0.3965
Tm1 Tm 0.0000 0.0000 0.5000
Tm2 Tm 0.0000 0.5000 0.1883
```

Least stable structure: B

--- A ---
Material: Pr2Y6Tm3
Method: DFT, PBE
State: relaxed

calculated volume = 34.26 Å³/atom
theoretical density = 5.83 g/cm3

```
data_Pr2Y6Tm3
_chemical_formula_sum 'Pr4 Y12 Tm6'
_symmetry_space_group_name_H-M 'I 4/m m m'
_symmetry_Int_Tables_number 139
_symmetry_space_group_name_Hall '-I 4 2'
_cell_length_a 4.7399
_cell_length_b 4.7399
_cell_length_c 33.5435
_cell_angle_alpha 90.00
_cell_angle_beta 90.00
_cell_angle_gamma 90.00
loop_
_atom_site_label
_atom_site_type_symbol
_atom_site_fract_x
_atom_site_fract_y
_atom_site_fract_z
Pr1 Pr 0.0000 0.0000 0.0457
Y1 Y 0.0000 0.0000 0.1988
Y2 Y 0.0000 0.5000 0.1227
Tm1 Tm 0.0000 0.0000 0.3007
Tm2 Tm 0.0000 0.0000 0.5000
```

--- B ---
Material: Pr2Y6Tm3
Method: DFT, PBE
State: relaxed

calculated volume = 34.24 Å³/atom
theoretical density = 5.83 g/cm3

```
data_Pr2Y6Tm3
_chemical_formula_sum 'Pr4 Y12 Tm6'
_symmetry_space_group_name_H-M 'C 1 2/m 1'
_symmetry_Int_Tables_number 12
_cell_length_a 6.1312
_cell_length_b 10.6324
_cell_length_c 11.7359
_cell_angle_alpha 90.00
_cell_angle_beta 100.11
_cell_angle_gamma 90.00
loop_
_symmetry_equiv_pos_as_xyz
'x,y,z'
'-x,-y,-z'
'-x,y,-z'
'x,-y,z'
'x+1/2,y+1/2,z'
'-x+1/2,-y+1/2,-z'
'-x+1/2,y+1/2,-z'
'x+1/2,-y+1/2,z'
loop_
_atom_site_label
_atom_site_type_symbol
_atom_site_fract_x
_atom_site_fract_y
_atom_site_fract_z
Pr1 Pr 0.0000 0.1667 0.0000
Y1 Y 0.2488 0.1666 0.7451
Y2 Y 0.2485 0.5000 0.7454
Tm1 Tm 0.0000 0.0000 0.5000
Tm2 Tm 0.0000 0.3347 0.5000
```

Least stable structure: A

--- A ---
Material: Pr6YTm
Method: DFT, PBE
State: relaxed

calculated volume = 34.87 Å³/atom
theoretical density = 6.57 g/cm3

```
data_Pr6YTm
_chemical_formula_sum 'Pr6 Y1 Tm1'
_symmetry_space_group_name_H-M 'P 4/m m m'
_symmetry_Int_Tables_number 123
_symmetry_space_group_name_Hall '-P 4 2'
_cell_length_a 5.1855
_cell_length_b 5.1855
_cell_length_c 10.3750
_cell_angle_alpha 90.00
_cell_angle_beta 90.00
_cell_angle_gamma 90.00
loop_
_atom_site_label
_atom_site_type_symbol
_atom_site_fract_x
_atom_site_fract_y
_atom_site_fract_z
Pr1 Pr 0.0000 0.0000 0.0000
Pr2 Pr 0.0000 0.0000 0.5000
Pr3 Pr 0.0000 0.5000 0.2486
Y1 Y 0.5000 0.5000 0.5000
Tm1 Tm 0.5000 0.5000 0.0000
```

--- B ---
Material: Pr6YTm
Method: DFT, PBE
State: relaxed

calculated volume = 38.03 Å³/atom
theoretical density = 6.02 g/cm3

```
data_Pr6YTm
_chemical_formula_sum 'Pr12 Y2 Tm2'
_symmetry_space_group_name_H-M 'C 1 2/m 1'
_symmetry_Int_Tables_number 12
_cell_length_a 9.2785
_cell_length_b 7.2846
_cell_length_c 9.3258
_cell_angle_alpha 90.00
_cell_angle_beta 105.12
_cell_angle_gamma 90.00
loop_
_symmetry_equiv_pos_as_xyz
'x,y,z'
'-x,-y,-z'
'-x,y,-z'
'x,-y,z'
'x+1/2,y+1/2,z'
'-x+1/2,-y+1/2,-z'
'-x+1/2,y+1/2,-z'
'x+1/2,-y+1/2,z'
loop_
_atom_site_label
_atom_site_type_symbol
_atom_site_fract_x
_atom_site_fract_y
_atom_site_fract_z
Pr1 Pr 0.1284 0.0000 0.4218
Pr2 Pr 0.2184 0.2365 0.7983
Y1 Y 0.0000 0.0000 0.0000
Tm1 Tm 0.0000 0.5000 0.5000
```

Least stable structure: B

--- A ---
Material: PrYTm5
Method: DFT, PBE
State: relaxed

calculated volume = 32.03 Å³/atom
theoretical density = 7.96 g/cm3

```
data_PrYTm5
_chemical_formula_sum 'Pr4 Y4 Tm20'
_symmetry_space_group_name_H-M 'C 1 2/c 1'
_symmetry_Int_Tables_number 15
_cell_length_a 11.5357
_cell_length_b 6.8070
_cell_length_c 12.0827
_cell_angle_alpha 90.00
_cell_angle_beta 109.07
_cell_angle_gamma 90.00
loop_
_symmetry_equiv_pos_as_xyz
'x,y,z'
'-x,-y,-z'
'-x,y,-z+1/2'
'x,-y,z+1/2'
'x+1/2,y+1/2,z'
'-x+1/2,-y+1/2,-z'
'-x+1/2,y+1/2,-z+1/2'
'x+1/2,-y+1/2,z+1/2'
loop_
_atom_site_label
_atom_site_type_symbol
_atom_site_fract_x
_atom_site_fract_y
_atom_site_fract_z
Pr1 Pr 0.2500 0.2500 0.0000
Y1 Y 0.0000 0.0281 0.2500
Tm1 Tm 0.0000 0.4163 0.7500
Tm2 Tm 0.0777 0.2815 0.4986
Tm3 Tm 0.2228 0.3577 0.2538
```

--- B ---
Material: PrYTm5
Method: DFT, PBE
State: relaxed

calculated volume = 41.52 Å³/atom
theoretical density = 6.14 g/cm3

```
data_PrYTm5
_chemical_formula_sum 'Pr2 Y2 Tm10'
_symmetry_space_group_name_H-M 'I m m m'
_symmetry_Int_Tables_number 71
_symmetry_space_group_name_Hall '-I 2 2'
_cell_length_a 5.7511
_cell_length_b 8.5889
_cell_length_c 11.7676
_cell_angle_alpha 90.00
_cell_angle_beta 90.00
_cell_angle_gamma 90.00
loop_
_atom_site_label
_atom_site_type_symbol
_atom_site_fract_x
_atom_site_fract_y
_atom_site_fract_z
Pr1 Pr 0.0000 0.0000 0.0000
Y1 Y 0.0000 0.0000 0.5000
Tm1 Tm 0.0000 0.0000 0.2537
Tm2 Tm 0.0000 0.3213 0.5000
Tm3 Tm 0.0000 0.5000 0.0000
```

Least stable structure: B